Record 1
Computed, not measured: a geometry-optimized VZnSiH2 structure at the GGA-PBE level of DFT.

Energy in eV per cell: -19.10
Size of the total moment in μB/cell: 3.28

```
VZnSiH2
1.0
3.602 0.000 0.000
0.000 3.602 0.000
0.000 0.000 5.184
V Zn Si H
1 1 1 2
Cartesian
0.000 0.000 0.000 V
1.801 1.801 0.000 Zn
0.000 0.000 2.592 Si
0.000 1.801 2.592 H
1.801 0.000 2.592 H
```



Record 2
Computed, not measured: a geometry-optimized CaZn4W structure at the GGA-PBE level of DFT.

Formation enthalpy at 0 K in eV per atom: 0.22
Energy in eV per cell: -18.72
Size of the total moment in μB/cell: 2.62

```
CaZn4W
1.0
0.000 3.689 3.689
3.689 0.000 3.689
3.689 3.689 0.000
Ca Zn W
1 4 1
Cartesian
0.000 0.000 0.000 Ca
2.779 2.779 2.779 Zn
4.599 4.599 2.779 Zn
4.599 2.779 4.599 Zn
2.779 4.599 4.599 Zn
5.533 5.533 5.533 W
```



Record 3
Computed, not measured: a geometry-optimized CaCr2Pt structure at the GGA-PBE level of DFT.

Formation enthalpy at 0 K in eV per atom: 0.31
Energy in eV per cell: -52.09
Size of the total moment in μB/cell: 16.68

```
CaCr2Pt
1.0
3.380 0.000 0.000
0.000 4.859 0.000
0.000 0.000 9.773
Ca Cr Pt
2 4 2
Cartesian
0.000 0.000 0.000 Ca
1.690 2.429 4.886 Ca
0.000 2.429 2.081 Cr
0.000 2.429 7.692 Cr
1.690 0.000 2.806 Cr
1.690 0.000 6.967 Cr
0.000 0.000 4.886 Pt
1.690 2.429 0.000 Pt
```



Record 4
Computed, not measured: a geometry-optimized GeRuRh structure at the GGA-PBE level of DFT.

ΔE to the lowest computed polymorph in kcal/mol of atoms: 1.25
Formation enthalpy at 0 K in eV per atom: -0.18
Energy in eV per cell: -87.19
Size of the total moment in μB/cell: 0.00

```
GeRuRh
1.0
7.977 0.000 0.000
0.000 4.018 0.000
-0.295 0.000 5.361
Ge Ru Rh
4 4 4
Cartesian
0.000 0.000 0.000 Ge
1.650 2.009 2.315 Ge
3.989 2.009 0.000 Ge
5.639 0.000 2.315 Ge
0.243 0.000 2.711 Ru
2.814 0.000 1.163 Ru
4.232 2.009 2.711 Ru
6.802 2.009 1.163 Ru
1.118 2.009 4.988 Rh
2.664 0.000 3.837 Rh
5.107 0.000 4.988 Rh
6.653 2.009 3.837 Rh
```



Record 5
Computed, not measured: a geometry-optimized CsTl12Sn4 structure at the GGA-PBE level of DFT.

Formation enthalpy at 0 K in eV per atom: 0.11
Energy in eV per cell: -43.38
Size of the total moment in μB/cell: 0.00

```
CsTl12Sn4
1.0
-5.349 5.349 5.349
5.349 -5.349 5.349
5.349 5.349 -5.349
Cs Tl Sn
1 12 4
Cartesian
0.000 0.000 0.000 Cs
3.792 0.000 1.633 Tl
6.907 0.000 1.633 Tl
5.349 3.716 -1.558 Tl
1.633 3.792 0.000 Tl
3.716 -1.558 5.349 Tl
5.349 3.716 1.558 Tl
0.000 1.633 3.792 Tl
1.633 6.907 0.000 Tl
3.716 1.558 5.349 Tl
0.000 1.633 6.907 Tl
-1.558 5.349 3.716 Tl
1.558 5.349 3.716 Tl
2.675 2.675 -2.675 Sn
2.675 -2.675 2.675 Sn
-2.675 2.675 2.675 Sn
2.675 2.675 2.675 Sn
```



Record 6
Computed, not measured: a geometry-optimized CuMo2Ru structure at the GGA-PBE level of DFT.

ΔE to the lowest computed polymorph in kcal/mol of atoms: 6.97
Formation enthalpy at 0 K in eV per atom: 0.41
Energy in eV per cell: -133.52
Size of the total moment in μB/cell: 0.00

```
CuMo2Ru
1.0
6.173 0.000 0.000
0.000 6.173 0.000
0.000 0.000 6.173
Cu Mo Ru
4 8 4
Cartesian
0.000 0.000 0.000 Cu
0.000 3.086 3.086 Cu
3.086 0.000 3.086 Cu
3.086 3.086 0.000 Cu
1.543 1.543 1.543 Mo
1.543 1.543 4.630 Mo
1.543 4.630 1.543 Mo
1.543 4.630 4.630 Mo
4.630 1.543 1.543 Mo
4.630 1.543 4.630 Mo
4.630 4.630 1.543 Mo
4.630 4.630 4.630 Mo
0.000 0.000 3.086 Ru
0.000 3.086 0.000 Ru
3.086 0.000 0.000 Ru
3.086 3.086 3.086 Ru
```



Record 7
Computed, not measured: a geometry-optimized P3AuF12 structure at the GGA-PBE level of DFT.

Raw formation energy in meV per atom: -2197
Energy in eV per cell: -154.22
Size of the total moment in μB/cell: 0.00

```
P3AuF12
1.0
7.877 0.000 0.000
3.930 7.858 0.000
3.935 2.794 9.201
P Au F
6 2 24
Cartesian
0.000 0.000 0.000 P
6.019 8.602 5.493 P
4.183 3.259 0.896 P
6.786 5.821 0.177 P
7.355 3.307 4.792 P
10.203 5.342 4.585 P
4.476 5.559 0.409 Au
9.666 3.043 5.007 Au
2.620 4.090 0.866 F
6.408 8.047 6.919 F
5.199 3.148 8.219 F
7.581 9.446 5.448 F
6.576 7.579 4.446 F
3.816 2.705 2.329 F
7.557 5.023 9.058 F
6.733 6.634 1.577 F
6.458 4.420 4.157 F
7.418 4.125 6.190 F
6.460 2.185 5.390 F
5.650 2.589 0.917 F
11.613 9.728 8.738 F
10.570 7.882 7.946 F
9.794 6.534 5.522 F
7.687 4.698 0.762 F
8.961 5.665 3.564 F
7.492 2.569 3.361 F
10.495 7.448 0.956 F
10.804 3.317 8.098 F
12.434 7.926 5.530 F
11.235 5.852 3.496 F
8.251 1.174 0.974 F
11.492 4.966 5.583 F
```



Record 8
Computed, not measured: a geometry-optimized AlCd3Si structure at the GGA-PBE level of DFT.

ΔE to the lowest computed polymorph in kcal/mol of atoms: 0.00
Raw formation energy in meV per atom: 560
Energy in eV per cell: -9.11
Size of the total moment in μB/cell: 0.00

```
AlCd3Si
1.0
5.127 0.000 0.000
0.000 5.127 0.000
0.000 0.000 5.127
Al Cd Si
1 3 1
Cartesian
0.000 0.000 0.000 Al
0.000 2.563 2.563 Cd
2.563 0.000 2.563 Cd
2.563 2.563 0.000 Cd
2.563 2.563 2.563 Si
```



Record 9
Computed, not measured: a geometry-optimized Pm5Sn2Rh structure at the GGA-PBE level of DFT.

ΔE to the lowest computed polymorph in kcal/mol of atoms: 5.17
Formation enthalpy at 0 K in eV per atom: -0.45
Energy in eV per cell: -85.38
Size of the total moment in μB/cell: 0.00

```
Pm5Sn2Rh
1.0
7.110 0.000 0.000
0.000 7.110 0.000
0.000 0.000 9.006
Pm Sn Rh
10 4 2
Cartesian
0.000 0.000 0.000 Pm
1.770 1.770 2.361 Pm
1.770 5.340 2.361 Pm
1.785 1.785 6.864 Pm
1.785 5.324 6.864 Pm
3.555 3.555 4.503 Pm
5.324 1.785 6.864 Pm
5.324 5.324 6.864 Pm
5.340 1.770 2.361 Pm
5.340 5.340 2.361 Pm
0.000 3.555 0.122 Sn
0.000 3.555 4.625 Sn
3.555 0.000 0.122 Sn
3.555 0.000 4.625 Sn
0.000 0.000 5.519 Rh
3.555 3.555 1.015 Rh
```



Record 10
Computed, not measured: a geometry-optimized SrOsRu structure at the GGA-PBE level of DFT.

ΔE to the lowest computed polymorph in kcal/mol of atoms: 0.48
Formation enthalpy at 0 K in eV per atom: 0.28
Energy in eV per cell: -85.43
Size of the total moment in μB/cell: 0.00

```
SrOsRu
1.0
11.175 0.000 0.000
0.000 4.447 0.000
-0.028 0.000 5.219
Sr Os Ru
4 4 4
Cartesian
0.000 0.000 0.000 Sr
0.544 2.223 2.618 Sr
5.588 2.223 0.000 Sr
6.131 0.000 2.618 Sr
2.638 2.223 5.203 Os
3.037 0.000 3.960 Os
8.225 0.000 5.203 Os
8.624 2.223 3.960 Os
3.019 0.000 1.378 Ru
3.455 2.223 2.589 Ru
8.606 2.223 1.378 Ru
9.043 0.000 2.589 Ru
```



Record 11
Computed, not measured: a geometry-optimized Pa3P2S3 structure at the GGA-PBE level of DFT.

ΔE to the lowest computed polymorph in kcal/mol of atoms: 3.71
Raw formation energy in meV per atom: -1218
Energy in eV per cell: -122.87
Size of the total moment in μB/cell: 2.96

```
Pa3P2S3
1.0
3.688 0.000 0.000
0.000 3.910 0.000
0.000 0.000 22.205
Pa P S
6 4 6
Cartesian
0.000 0.000 0.000 Pa
0.000 1.955 3.430 Pa
0.000 1.955 18.775 Pa
1.844 0.000 7.672 Pa
1.844 0.000 14.533 Pa
1.844 1.955 11.103 Pa
0.000 0.000 5.541 P
0.000 0.000 16.664 P
1.844 1.955 5.561 P
1.844 1.955 16.644 P
0.000 0.000 11.103 S
0.000 1.955 8.616 S
0.000 1.955 13.589 S
1.844 0.000 2.486 S
1.844 0.000 19.719 S
1.844 1.955 0.000 S
```



Record 12
Computed, not measured: a geometry-optimized BiTe2Pb structure at the GGA-PBE level of DFT.

Raw formation energy in meV per atom: -170
Energy in eV per cell: -43.66
Size of the total moment in μB/cell: 0.00

```
BiTe2Pb
1.0
4.312 0.000 0.000
-2.156 3.734 0.000
0.000 0.000 25.543
Bi Te Pb
3 6 3
Cartesian
0.000 0.000 0.000 Bi
0.000 2.490 17.029 Bi
2.156 1.245 8.514 Bi
0.000 0.000 10.537 Te
0.000 0.000 15.003 Te
0.000 2.490 2.023 Te
0.000 2.490 6.488 Te
2.156 1.245 19.052 Te
2.156 1.245 23.517 Te
0.000 0.000 21.250 Pb
0.000 2.490 12.736 Pb
2.156 1.245 4.221 Pb
```